a) # ZnCrBi3

ZnCrBi3 after structural relaxation (PBE, Alexandria). Values from VASP.

```
&SYSTEM
  ibrav = 0, nat = 5, ntyp = 3
/
ATOMIC_SPECIES
Cr 52.00 Cr.upf
Zn 65.41 Zn.upf
Bi 208.98 Bi.upf
CELL_PARAMETERS angstrom
-2.182 0.981 4.821
-4.919 -0.498 -2.125
0.059 -5.268 1.099
ATOMIC_POSITIONS angstrom
Cr -3.521 -2.393 1.897
Zn 0.000 0.000 0.000
Bi -2.460 -0.249 -1.062
Bi 0.030 -2.634 0.549
Bi -1.091 0.490 2.411
```

Values from the calculation:
volume = 31.18 Å³/atom
space-group type = Pm-3m (221)

b) # ZnCrBi3

ZnCrBi3 after structural relaxation (PBE, Alexandria). Values from VASP.

```
&SYSTEM
  ibrav = 0, nat = 5, ntyp = 3
/
ATOMIC_SPECIES
Cr 52.00 Cr.upf
Zn 65.41 Zn.upf
Bi 208.98 Bi.upf
CELL_PARAMETERS angstrom
-1.882 1.973 -4.494
-4.313 -2.961 0.507
-2.341 3.869 2.679
ATOMIC_POSITIONS angstrom
Cr 0.000 0.000 0.000
Zn -4.268 1.440 -0.654
Bi -2.157 -1.480 0.253
Bi -1.171 1.934 1.339
Bi -0.941 0.986 -2.247
```

Values from the calculation:
volume = 29.04 Å³/atom
space-group type = Pm-3m (221)

Of the structures shown above, a) is the least stable.